# HfAg2Te4 | Alexandria via LeMat-Bulk | GGA-PBE | relaxed
# - uncorrected formation energy (eV per atom) = -0.259
data_HfAg2Te4
_cell_length_a 3.955
_cell_length_b 14.524
_cell_length_c 13.333
_cell_angle_alpha 90.00
_cell_angle_beta 90.00
_cell_angle_gamma 90.00
_space_group_name_H-M_alt 'C m c m'
_space_group_IT_number 63
_space_group_name_Hall '-C 2c 2'
loop_
_atom_site_label
_atom_site_fract_x
_atom_site_fract_y
_atom_site_fract_z
_atom_site_occupancy
Hf1 0.000 0.105 0.250 1
Ag1 0.000 0.366 0.069 1
Te1 0.000 0.000 0.000 1
Te2 0.000 0.295 0.626 1
Te3 0.000 0.457 0.250 1